DFT (SCAN) results for a crystal of ScNi3S relaxed with PBEsol.

Summary:
**E**: -13.11 eV per atom
**Total moment**: 0.00 μB/atom
**Formation energy without anion corrections**: 1370 meV per atom

CIF file:
```
data_ScNi3S
_chemical_formula_sum 'Sc1 Ni3 S1'
_symmetry_space_group_name_H-M 'P m -3 m'
_symmetry_Int_Tables_number 221
_symmetry_space_group_name_Hall '-P 4 2 3'
_cell_length_a 4.3499
_cell_length_b 4.3499
_cell_length_c 4.3499
_cell_angle_alpha 90.00
_cell_angle_beta 90.00
_cell_angle_gamma 90.00
loop_
_atom_site_label
_atom_site_fract_x
_atom_site_fract_y
_atom_site_fract_z
_atom_site_occupancy
Sc1 0.0000 0.0000 0.0000 1
Ni1 0.0000 0.0000 0.5000 1
S1 0.5000 0.5000 0.5000 1
```

DFT (SCAN) results for a crystal of NiSe3S relaxed with PBEsol.

Summary:
**E**: -16.20 eV per atom
**Total moment**: 0.35 μB/atom
**Formation energy without anion corrections**: 1003 meV per atom

CIF file:
```
data_NiSe3S
_chemical_formula_sum 'Ni1 Se3 S1'
_symmetry_space_group_name_H-M 'P m -3 m'
_symmetry_Int_Tables_number 221
_symmetry_space_group_name_Hall '-P 4 2 3'
_cell_length_a 4.7204
_cell_length_b 4.7204
_cell_length_c 4.7204
_cell_angle_alpha 90.00
_cell_angle_beta 90.00
_cell_angle_gamma 90.00
loop_
_atom_site_label
_atom_site_fract_x
_atom_site_fract_y
_atom_site_fract_z
_atom_site_occupancy
Ni1 0.0000 0.0000 0.0000 1
Se1 0.0000 0.5000 0.5000 1
S1 0.5000 0.5000 0.5000 1
```

DFT (SCAN) results for a crystal of NiSeS relaxed with PBEsol.

Summary:
**E**: -15.53 eV per atom
**Total moment**: 0.00 μB/atom
**Formation energy without anion corrections**: -239 meV per atom

CIF file:
```
data_NiSeS
_chemical_formula_sum 'Ni4 Se4 S4'
_symmetry_space_group_name_H-M 'P 21 3'
_symmetry_Int_Tables_number 198
_symmetry_space_group_name_Hall 'P 2ac 2ab 3'
_cell_length_a 5.6680
_cell_length_b 5.6680
_cell_length_c 5.6680
_cell_angle_alpha 90.00
_cell_angle_beta 90.00
_cell_angle_gamma 90.00
loop_
_atom_site_label
_atom_site_fract_x
_atom_site_fract_y
_atom_site_fract_z
_atom_site_occupancy
Ni1 0.0114 0.0114 0.0114 1
Se1 0.1223 0.6223 0.8777 1
S1 0.1171 0.8829 0.3829 1
```

DFT (SCAN) results for a crystal of Ta2NiSeS relaxed with PBEsol.

Summary:
**E**: -35.46 eV per atom
**Total moment**: 0.00 μB/atom
**Formation energy without anion corrections**: 345 meV per atom

CIF file:
```
data_Ta2NiSeS
_chemical_formula_sum 'Ta2 Ni1 Se1 S1'
_symmetry_space_group_name_H-M 'P 4/m m m'
_symmetry_Int_Tables_number 123
_symmetry_space_group_name_Hall '-P 4 2'
_cell_length_a 4.6434
_cell_length_b 4.6434
_cell_length_c 3.8742
_cell_angle_alpha 90.00
_cell_angle_beta 90.00
_cell_angle_gamma 90.00
loop_
_atom_site_label
_atom_site_fract_x
_atom_site_fract_y
_atom_site_fract_z
_atom_site_occupancy
Ta1 0.0000 0.5000 0.0000 1
Ni1 0.0000 0.0000 0.5000 1
Se1 0.5000 0.5000 0.5000 1
S1 0.0000 0.0000 0.0000 1
```

DFT (SCAN) results for a crystal of SiNi3S relaxed with PBEsol.

Summary:
**E**: -13.35 eV per atom
**Total moment**: 0.00 μB/atom
**Formation energy without anion corrections**: 282 meV per atom

CIF file:
```
data_SiNi3S
_chemical_formula_sum 'Si1 Ni3 S1'
_symmetry_space_group_name_H-M 'P m -3 m'
_symmetry_Int_Tables_number 221
_symmetry_space_group_name_Hall '-P 4 2 3'
_cell_length_a 4.0953
_cell_length_b 4.0953
_cell_length_c 4.0953
_cell_angle_alpha 90.00
_cell_angle_beta 90.00
_cell_angle_gamma 90.00
loop_
_atom_site_label
_atom_site_fract_x
_atom_site_fract_y
_atom_site_fract_z
_atom_site_occupancy
Si1 0.0000 0.0000 0.0000 1
Ni1 0.0000 0.5000 0.5000 1
S1 0.5000 0.5000 0.5000 1
```

DFT (SCAN) results for a crystal of SiNi2S relaxed with PBEsol.

Summary:
**E**: -12.89 eV per atom
**Total moment**: 0.00 μB/atom
**Formation energy without anion corrections**: 104 meV per atom

CIF file:
```
data_SiNi2S
_chemical_formula_sum 'Si4 Ni8 S4'
_symmetry_space_group_name_H-M 'F m -3 m'
_symmetry_Int_Tables_number 225
_symmetry_space_group_name_Hall '-F 4 2 3'
_cell_length_a 5.7273
_cell_length_b 5.7273
_cell_length_c 5.7273
_cell_angle_alpha 90.00
_cell_angle_beta 90.00
_cell_angle_gamma 90.00
loop_
_atom_site_label
_atom_site_fract_x
_atom_site_fract_y
_atom_site_fract_z
_atom_site_occupancy
Si1 0.0000 0.0000 0.0000 1
Ni1 0.2500 0.2500 0.2500 1
S1 0.0000 0.0000 0.5000 1
```

DFT (SCAN) results for a crystal of Si2NiSnS relaxed with PBEsol.

Summary:
**E**: -15.94 eV per atom
**Total moment**: 0.00 μB/atom
**Formation energy without anion corrections**: 408 meV per atom

CIF file:
```
data_Si2NiSnS
_chemical_formula_sum 'Si2 Ni1 Sn1 S1'
_symmetry_space_group_name_H-M 'P 4/m m m'
_symmetry_Int_Tables_number 123
_symmetry_space_group_name_Hall '-P 4 2'
_cell_length_a 4.2735
_cell_length_b 4.2735
_cell_length_c 5.0997
_cell_angle_alpha 90.00
_cell_angle_beta 90.00
_cell_angle_gamma 90.00
loop_
_atom_site_label
_atom_site_fract_x
_atom_site_fract_y
_atom_site_fract_z
_atom_site_occupancy
Si1 0.0000 0.5000 0.0000 1
Ni1 0.0000 0.0000 0.0000 1
Sn1 0.5000 0.5000 0.5000 1
S1 0.0000 0.0000 0.5000 1
```

DFT (SCAN) results for a crystal of NiSn2TeS relaxed with PBEsol.

Summary:
**E**: -26.75 eV per atom
**Total moment**: 0.00 μB/atom
**Formation energy without anion corrections**: 229 meV per atom

CIF file:
```
data_NiSn2TeS
_chemical_formula_sum 'Ni1 Sn2 Te1 S1'
_symmetry_space_group_name_H-M 'P 4/m m m'
_symmetry_Int_Tables_number 123
_symmetry_space_group_name_Hall '-P 4 2'
_cell_length_a 4.9950
_cell_length_b 4.9950
_cell_length_c 4.7528
_cell_angle_alpha 90.00
_cell_angle_beta 90.00
_cell_angle_gamma 90.00
loop_
_atom_site_label
_atom_site_fract_x
_atom_site_fract_y
_atom_site_fract_z
_atom_site_occupancy
Ni1 0.0000 0.0000 0.0000 1
Sn1 0.0000 0.5000 0.0000 1
Te1 0.0000 0.0000 0.5000 1
S1 0.5000 0.5000 0.5000 1
```

DFT (SCAN) results for a crystal of Sr3NiS relaxed with PBEsol.

Summary:
**E**: -18.80 eV per atom
**Total moment**: 0.00 μB/atom
**Formation energy without anion corrections**: -277 meV per atom

CIF file:
```
data_Sr3NiS
_chemical_formula_sum 'Sr3 Ni1 S1'
_symmetry_space_group_name_H-M 'P m -3 m'
_symmetry_Int_Tables_number 221
_symmetry_space_group_name_Hall '-P 4 2 3'
_cell_length_a 5.4637
_cell_length_b 5.4637
_cell_length_c 5.4637
_cell_angle_alpha 90.00
_cell_angle_beta 90.00
_cell_angle_gamma 90.00
loop_
_atom_site_label
_atom_site_fract_x
_atom_site_fract_y
_atom_site_fract_z
_atom_site_occupancy
Sr1 0.0000 0.0000 0.5000 1
Ni1 0.0000 0.0000 0.0000 1
S1 0.5000 0.5000 0.5000 1
```

DFT (SCAN) results for a crystal of Ta2NiS5 relaxed with PBEsol.

Summary:
**E**: -25.69 eV per atom
**Total moment**: 0.00 μB/atom
**Formation energy without anion corrections**: -1007 meV per atom

CIF file:
```
data_Ta2NiS5
_chemical_formula_sum 'Ta8 Ni4 S20'
_symmetry_space_group_name_H-M 'C m c m'
_symmetry_Int_Tables_number 63
_symmetry_space_group_name_Hall '-C 2c 2'
_cell_length_a 3.3575
_cell_length_b 12.4144
_cell_length_c 14.9620
_cell_angle_alpha 90.00
_cell_angle_beta 90.00
_cell_angle_gamma 90.00
loop_
_atom_site_label
_atom_site_fract_x
_atom_site_fract_y
_atom_site_fract_z
_atom_site_occupancy
Ta1 0.0000 0.2218 0.1070 1
Ni1 0.0000 0.3011 0.7500 1
S1 0.0000 0.1481 0.5501 1
S2 0.0000 0.3170 0.2500 1
S3 0.0000 0.4141 0.6369 1
```

DFT (SCAN) results for a crystal of Ta2NiS4 relaxed with PBEsol.

Summary:
**E**: -27.79 eV per atom
**Total moment**: 0.00 μB/atom
**Formation energy without anion corrections**: -951 meV per atom

CIF file:
```
data_Ta2NiS4
_chemical_formula_sum 'Ta2 Ni1 S4'
_symmetry_space_group_name_H-M 'P -3 m 1'
_symmetry_Int_Tables_number 164
_symmetry_space_group_name_Hall '-P 3 2"'
_cell_length_a 3.3166
_cell_length_b 3.3166
_cell_length_c 11.8776
_cell_angle_alpha 90.00
_cell_angle_beta 90.00
_cell_angle_gamma 120.00
loop_
_atom_site_label
_atom_site_fract_x
_atom_site_fract_y
_atom_site_fract_z
_atom_site_occupancy
Ta1 0.0000 0.0000 0.2432 1
Ni1 0.0000 0.0000 0.0000 1
S1 0.3333 0.6667 0.1129 1
S2 0.3333 0.6667 0.3739 1
```

DFT (SCAN) results for a crystal of NiTe3S relaxed with PBEsol.

Summary:
**E**: -26.97 eV per atom
**Total moment**: 0.00 μB/atom
**Formation energy without anion corrections**: 546 meV per atom

CIF file:
```
data_NiTe3S
_chemical_formula_sum 'Ni1 Te3 S1'
_symmetry_space_group_name_H-M 'P m -3 m'
_symmetry_Int_Tables_number 221
_symmetry_space_group_name_Hall '-P 4 2 3'
_cell_length_a 4.9136
_cell_length_b 4.9136
_cell_length_c 4.9136
_cell_angle_alpha 90.00
_cell_angle_beta 90.00
_cell_angle_gamma 90.00
loop_
_atom_site_label
_atom_site_fract_x
_atom_site_fract_y
_atom_site_fract_z
_atom_site_occupancy
Ni1 0.0000 0.0000 0.0000 1
Te1 0.0000 0.0000 0.5000 1
S1 0.5000 0.5000 0.5000 1
```

DFT (SCAN) results for a crystal of NiTeS2 relaxed with PBEsol.

Summary:
**E**: -18.36 eV per atom
**Total moment**: 0.00 μB/atom
**Formation energy without anion corrections**: -189 meV per atom

CIF file:
```
data_NiTeS2
_chemical_formula_sum 'Ni3 Te3 S6'
_symmetry_space_group_name_H-M 'R -3 m'
_symmetry_Int_Tables_number 166
_symmetry_space_group_name_Hall '-R 3 2"'
_cell_length_a 3.4082
_cell_length_b 3.4082
_cell_length_c 22.7102
_cell_angle_alpha 90.00
_cell_angle_beta 90.00
_cell_angle_gamma 120.00
loop_
_atom_site_label
_atom_site_fract_x
_atom_site_fract_y
_atom_site_fract_z
_atom_site_occupancy
Ni1 0.0000 0.0000 0.0000 1
Te1 0.0000 0.0000 0.5000 1
S1 0.0000 0.0000 0.3838 1
```

DFT (SCAN) results for a crystal of NiTeS2 relaxed with PBEsol.

Summary:
**E**: -18.13 eV per atom
**Total moment**: 0.00 μB/atom
**Formation energy without anion corrections**: 41 meV per atom

CIF file:
```
data_NiTeS2
_chemical_formula_sum 'Ni4 Te4 S8'
_symmetry_space_group_name_H-M 'I -4 2 d'
_symmetry_Int_Tables_number 122
_symmetry_space_group_name_Hall 'I -4 2bw'
_cell_length_a 6.2576
_cell_length_b 6.2576
_cell_length_c 7.8391
_cell_angle_alpha 90.00
_cell_angle_beta 90.00
_cell_angle_gamma 90.00
loop_
_atom_site_label
_atom_site_fract_x
_atom_site_fract_y
_atom_site_fract_z
_atom_site_occupancy
Ni1 0.0000 0.0000 0.0000 1
Te1 0.0000 0.0000 0.5000 1
S1 0.1762 0.2500 0.1250 1
```

DFT (SCAN) results for a crystal of NiTeS2 relaxed with PBEsol.

Summary:
**E**: -17.85 eV per atom
**Total moment**: 0.07 μB/atom
**Formation energy without anion corrections**: 319 meV per atom

CIF file:
```
data_NiTeS2
_chemical_formula_sum 'Ni3 Te3 S6'
_symmetry_space_group_name_H-M 'R -3 m'
_symmetry_Int_Tables_number 166
_symmetry_space_group_name_Hall '-R 3 2"'
_cell_length_a 4.0301
_cell_length_b 4.0301
_cell_length_c 20.6886
_cell_angle_alpha 90.00
_cell_angle_beta 90.00
_cell_angle_gamma 120.00
loop_
_atom_site_label
_atom_site_fract_x
_atom_site_fract_y
_atom_site_fract_z
_atom_site_occupancy
Ni1 0.0000 0.0000 0.0000 1
Te1 0.0000 0.0000 0.5000 1
S1 0.0000 0.0000 0.0982 1
```

DFT (SCAN) results for a crystal of Ni2TeS relaxed with PBEsol.

Summary:
**E**: -20.06 eV per atom
**Total moment**: 0.00 μB/atom
**Formation energy without anion corrections**: -250 meV per atom

CIF file:
```
data_Ni2TeS
_chemical_formula_sum 'Ni8 Te4 S4'
_symmetry_space_group_name_H-M 'I -4 2 d'
_symmetry_Int_Tables_number 122
_symmetry_space_group_name_Hall 'I -4 2bw'
_cell_length_a 4.5915
_cell_length_b 4.5915
_cell_length_c 12.9043
_cell_angle_alpha 90.00
_cell_angle_beta 90.00
_cell_angle_gamma 90.00
loop_
_atom_site_label
_atom_site_fract_x
_atom_site_fract_y
_atom_site_fract_z
_atom_site_occupancy
Ni1 0.1530 0.2500 0.1250 1
Te1 0.0000 0.0000 0.5000 1
S1 0.0000 0.0000 0.0000 1
```

DFT (SCAN) results for a crystal of Ti4NiS8 relaxed with PBEsol.

Summary:
**E**: -13.48 eV per atom
**Total moment**: 0.00 μB/atom
**Formation energy without anion corrections**: -1382 meV per atom

CIF file:
```
data_Ti4NiS8
_chemical_formula_sum 'Ti8 Ni2 S16'
_symmetry_space_group_name_H-M 'C 1 2/m 1'
_symmetry_Int_Tables_number 12
_cell_length_a 11.0735
_cell_length_b 6.6915
_cell_length_c 7.9526
_cell_angle_alpha 90.00
_cell_angle_beta 133.55
_cell_angle_gamma 90.00
loop_
_symmetry_equiv_pos_as_xyz
'x,y,z'
'-x,-y,-z'
'-x,y,-z'
'x,-y,z'
'x+1/2,y+1/2,z'
'-x+1/2,-y+1/2,-z'
'-x+1/2,y+1/2,-z'
'x+1/2,-y+1/2,z'
loop_
_atom_site_label
_atom_site_fract_x
_atom_site_fract_y
_atom_site_fract_z
_atom_site_occupancy
Ti1 0.0000 0.2435 0.0000 1
Ti2 0.2423 0.0000 0.4964 1
Ni1 0.0000 0.5000 0.5000 1
S1 0.0422 0.5000 0.8301 1
S2 0.0489 0.0000 0.8333 1
S3 0.2026 0.2521 0.6685 1
```

DFT (SCAN) results for a crystal of Tl2NiS relaxed with PBEsol.

Summary:
**E**: -42.07 eV per atom
**Total moment**: 0.32 μB/atom
**Formation energy without anion corrections**: 559 meV per atom

CIF file:
```
data_Tl2NiS
_chemical_formula_sum 'Tl8 Ni4 S4'
_symmetry_space_group_name_H-M 'F m -3 m'
_symmetry_Int_Tables_number 225
_symmetry_space_group_name_Hall '-F 4 2 3'
_cell_length_a 6.8946
_cell_length_b 6.8946
_cell_length_c 6.8946
_cell_angle_alpha 90.00
_cell_angle_beta 90.00
_cell_angle_gamma 90.00
loop_
_atom_site_label
_atom_site_fract_x
_atom_site_fract_y
_atom_site_fract_z
_atom_site_occupancy
Tl1 0.2500 0.2500 0.2500 1
Ni1 0.0000 0.0000 0.0000 1
S1 0.0000 0.0000 0.5000 1
```

DFT (SCAN) results for a crystal of Tl2Ni3S2 relaxed with PBEsol.

Summary:
**E**: -30.66 eV per atom
**Total moment**: 0.00 μB/atom
**Formation energy without anion corrections**: -308 meV per atom

CIF file:
```
data_Tl2Ni3S2
_chemical_formula_sum 'Tl6 Ni9 S6'
_symmetry_space_group_name_H-M 'R -3 m'
_symmetry_Int_Tables_number 166
_symmetry_space_group_name_Hall '-R 3 2"'
_cell_length_a 5.4133
_cell_length_b 5.4133
_cell_length_c 13.6788
_cell_angle_alpha 90.00
_cell_angle_beta 90.00
_cell_angle_gamma 120.00
loop_
_atom_site_label
_atom_site_fract_x
_atom_site_fract_y
_atom_site_fract_z
_atom_site_occupancy
Tl1 0.0000 0.0000 0.0000 1
Tl2 0.0000 0.0000 0.5000 1
Ni1 0.0000 0.5000 0.0000 1
S1 0.0000 0.0000 0.2255 1
```

DFT (SCAN) results for a crystal of Tl3NiS relaxed with PBEsol.

Summary:
**E**: -47.74 eV per atom
**Total moment**: 0.25 μB/atom
**Formation energy without anion corrections**: 836 meV per atom

CIF file:
```
data_Tl3NiS
_chemical_formula_sum 'Tl3 Ni1 S1'
_symmetry_space_group_name_H-M 'P m -3 m'
_symmetry_Int_Tables_number 221
_symmetry_space_group_name_Hall '-P 4 2 3'
_cell_length_a 5.3393
_cell_length_b 5.3393
_cell_length_c 5.3393
_cell_angle_alpha 90.00
_cell_angle_beta 90.00
_cell_angle_gamma 90.00
loop_
_atom_site_label
_atom_site_fract_x
_atom_site_fract_y
_atom_site_fract_z
_atom_site_occupancy
Tl1 0.0000 0.0000 0.5000 1
Ni1 0.5000 0.5000 0.5000 1
S1 0.0000 0.0000 0.0000 1
```

no.,density of states at the Fermi level (states/eV/cell)
1,2.56
2,6.13
3,6.67
4,3.45
5,1.64
6,2.83
7,2.03
8,3.53
9,3.41
10,5.27
11,3.18
12,4.99
13,8.88
14,11.84
15,9.07
16,9.02
17,6.55
18,12.57
19,11.66
20,6.28